A relaxed KSrCa2 crystal. Source: Alexandria, functional PBE.

Computed properties:
- E_tot (eV/atom) = -1.546
- offset from the most stable computed form (eV per atom) = 0.068

a b c (Å): 5.8067 5.8067 11.9825
angles (deg): 90.00 90.00 90.00
Last column: nearest neighbours and their distance in Å.
Space group I4/mmm (No. 139)
Inequivalent atoms, fractional coordinates:
K  0.0000  0.0000  0.0000 x2  4 Sr 4.11, 8 Ca 4.17
Sr  0.0000  0.0000  0.5000 x2  4 K 4.11, 8 Ca 4.17
Ca  0.0000  0.5000  0.2500 x4  4 Ca 4.11, 4 K 4.17, 4 Sr 4.17